Material: LiOsAu
Method: DFT, PBE-GGA
State: optimized geometry

Results
- Energy of formation from the pure elements: 428.8 meV per atom
- Excess energy over the best structure of this formula in the dataset: 222 meV/atom

Cell lengths 4.474, 4.474, 2.608 Å; angles 90.00, 90.00, 120.00 degrees
Positions (direct):
Li1 0.000 0.000 0.000
Os1 0.333 0.667 0.500
Au1 0.667 0.333 0.000